A geometry-optimized Rb2VSnCl6 structure. Source: Alexandria via LeMat-Bulk, functional GGA-PBE.

a b c (Å): 7.480 7.480 7.480
angles (deg): 60.00 60.00 60.00
Positions (direct):
Rb1 0.250 0.250 0.250
Rb2 0.750 0.750 0.750
V1 0.000 0.000 0.000
Sn1 0.500 0.500 0.500
Cl1 0.235 0.235 0.765
Cl2 0.235 0.765 0.235
Cl3 0.235 0.765 0.765
Cl4 0.765 0.235 0.235
Cl5 0.765 0.235 0.765
Cl6 0.765 0.765 0.235

Output
SG: No. 225
Size of the total moment, μB per formula unit: 3.0
Formation energy (no corrections), eV per atom: -1.4245



A geometry-optimized Rb2YSnCl6 structure. Source: Alexandria via LeMat-Bulk, functional GGA-PBE.

a b c (Å): 8.338 8.338 8.338
angles (deg): 124.65 124.65 82.11
Positions (direct):
Rb1 0.250 0.750 0.500
Rb2 0.750 0.250 0.500
Y1 0.000 0.000 0.000
Sn1 0.500 0.500 0.000
Cl1 0.210 0.210 0.000
Cl2 0.241 0.241 0.482
Cl3 0.241 0.759 0.000
Cl4 0.759 0.241 0.000
Cl5 0.759 0.759 0.518
Cl6 0.790 0.790 0.000

Output
SG: No. 139
Size of the total moment, μB per formula unit: 1.0
Formation energy (no corrections), eV per atom: -1.6954



A geometry-optimized RbZnSnCl5 structure. Source: Alexandria via LeMat-Bulk, functional GGA-PBE.

a b c (Å): 7.729 7.729 10.121
angles (deg): 104.15 104.15 106.21
Positions (direct):
Rb1 0.153 0.847 0.750
Rb2 0.847 0.153 0.250
Zn1 0.186 0.814 0.250
Zn2 0.814 0.186 0.750
Sn1 0.500 0.500 0.000
Sn2 0.500 0.500 0.500
Cl1 0.102 0.249 0.925
Cl2 0.174 0.598 0.372
Cl3 0.249 0.102 0.425
Cl4 0.402 0.826 0.128
Cl5 0.413 0.587 0.750
Cl6 0.587 0.413 0.250
Cl7 0.598 0.174 0.872
Cl8 0.751 0.898 0.575
Cl9 0.826 0.402 0.628
Cl10 0.898 0.751 0.075

Output
SG: No. 15
Size of the total moment, μB per formula unit: 0.0
Formation energy (no corrections), eV per atom: -1.3162



A geometry-optimized Rb3Sr2Cl6 structure. Source: Alexandria via LeMat-Bulk, functional GGA-PBE.

a b c (Å): 13.782 13.782 13.782
angles (deg): 156.04 156.04 34.14
Positions (direct):
Rb1 0.000 0.000 0.000
Rb2 0.181 0.181 0.000
Rb3 0.819 0.819 0.000
Sr1 0.410 0.410 0.000
Sr2 0.590 0.590 0.000
Cl1 0.090 0.590 0.500
Cl2 0.302 0.302 0.000
Cl3 0.410 0.910 0.500
Cl4 0.590 0.090 0.500
Cl5 0.698 0.698 0.000
Cl6 0.910 0.410 0.500

Output
SG: No. 139
Size of the total moment, μB per formula unit: 1.0
Formation energy (no corrections), eV per atom: -2.0034



A geometry-optimized Rb6SrCl8 structure. Source: Alexandria via LeMat-Bulk, functional GGA-PBE.

a b c (Å): 9.424 9.424 9.424
angles (deg): 60.00 60.00 60.00
Positions (direct):
Rb1 0.000 0.000 0.500
Rb2 0.000 0.500 0.000
Rb3 0.000 0.500 0.500
Rb4 0.500 0.000 0.000
Rb5 0.500 0.000 0.500
Rb6 0.500 0.500 0.000
Sr1 0.000 0.000 0.000
Cl1 0.219 0.219 0.781
Cl2 0.219 0.781 0.219
Cl3 0.219 0.781 0.781
Cl4 0.250 0.250 0.250
Cl5 0.750 0.750 0.750
Cl6 0.781 0.219 0.219
Cl7 0.781 0.219 0.781
Cl8 0.781 0.781 0.219

Output
SG: No. 225
Size of the total moment, μB per formula unit: 0.0
Formation energy (no corrections), eV per atom: -2.0591



A geometry-optimized RbSrCl3 structure. Source: Alexandria via LeMat-Bulk, functional GGA-PBE.

a b c (Å): 7.806 7.806 5.756
angles (deg): 90.00 90.00 90.00
Positions (direct):
Rb1 0.000 0.500 0.000
Rb2 0.500 0.000 0.000
Sr1 0.000 0.000 0.500
Sr2 0.500 0.500 0.500
Cl1 0.000 0.000 0.000
Cl2 0.173 0.327 0.500
Cl3 0.327 0.827 0.500
Cl4 0.500 0.500 0.000
Cl5 0.673 0.173 0.500
Cl6 0.827 0.673 0.500

Output
SG: No. 127
Size of the total moment, μB per formula unit: 0.0
Formation energy (no corrections), eV per atom: -2.2678



A geometry-optimized RbSrCl3 structure. Source: Alexandria via LeMat-Bulk, functional GGA-PBE.

a b c (Å): 5.700 5.700 5.700
angles (deg): 90.00 90.00 90.00
Positions (direct):
Rb1 0.000 0.000 0.000
Sr1 0.500 0.500 0.500
Cl1 0.000 0.500 0.500
Cl2 0.500 0.000 0.500
Cl3 0.500 0.500 0.000

Output
SG: No. 221
Size of the total moment, μB per formula unit: 0.0
Formation energy (no corrections), eV per atom: -2.2371



A geometry-optimized RbSr2Cl2 structure. Source: Alexandria via LeMat-Bulk, functional GGA-PBE.

a b c (Å): 8.224 8.224 8.224
angles (deg): 141.54 141.54 55.53
Positions (direct):
Rb1 0.000 0.000 0.000
Sr1 0.353 0.353 0.000
Sr2 0.647 0.647 0.000
Cl1 0.250 0.750 0.500
Cl2 0.750 0.250 0.500

Output
SG: No. 139
Size of the total moment, μB per formula unit: 0.0
Formation energy (no corrections), eV per atom: -1.3175



A geometry-optimized Rb12Sr3Cl5 structure. Source: Alexandria via LeMat-Bulk, functional GGA-PBE.

a b c (Å): 19.250 19.250 19.250
angles (deg): 109.47 109.47 109.47
Positions (direct):
Rb1 0.002 0.186 0.099
Rb2 0.002 0.316 0.903
Rb3 0.087 0.686 0.684
Rb4 0.087 0.901 0.403
Rb5 0.097 0.599 0.413
Rb6 0.097 0.998 0.684
Rb7 0.099 0.002 0.186
Rb8 0.099 0.597 0.913
Rb9 0.184 0.186 0.587
Rb10 0.184 0.498 0.597
Rb11 0.186 0.099 0.002
Rb12 0.186 0.587 0.184
Rb13 0.314 0.316 0.913
Rb14 0.314 0.498 0.401
Rb15 0.316 0.903 0.002
Rb16 0.316 0.913 0.314
Rb17 0.401 0.314 0.498
Rb18 0.401 0.587 0.903
Rb19 0.403 0.087 0.901
Rb20 0.403 0.816 0.502
Rb21 0.413 0.097 0.599
Rb22 0.413 0.816 0.814
Rb23 0.498 0.401 0.314
Rb24 0.498 0.597 0.184
Rb25 0.502 0.403 0.816
Rb26 0.502 0.599 0.686
Rb27 0.587 0.184 0.186
Rb28 0.587 0.903 0.401
Rb29 0.597 0.184 0.498
Rb30 0.597 0.913 0.099
Rb31 0.599 0.413 0.097
Rb32 0.599 0.686 0.502
Rb33 0.684 0.087 0.686
Rb34 0.684 0.097 0.998
Rb35 0.686 0.502 0.599
Rb36 0.686 0.684 0.087
Rb37 0.814 0.413 0.816
Rb38 0.814 0.901 0.998
Rb39 0.816 0.502 0.403
Rb40 0.816 0.814 0.413
Rb41 0.901 0.403 0.087
Rb42 0.901 0.998 0.814
Rb43 0.903 0.002 0.316
Rb44 0.903 0.401 0.587
Rb45 0.913 0.099 0.597
Rb46 0.913 0.314 0.316
Rb47 0.998 0.684 0.097
Rb48 0.998 0.814 0.901
Sr1 0.125 0.250 0.375
Sr2 0.125 0.375 0.750
Sr3 0.250 0.375 0.125
Sr4 0.250 0.875 0.625
Sr5 0.375 0.125 0.250
Sr6 0.375 0.750 0.125
Sr7 0.625 0.250 0.875
Sr8 0.625 0.875 0.750
Sr9 0.750 0.125 0.375
Sr10 0.750 0.625 0.875
Sr11 0.875 0.625 0.250
Sr12 0.875 0.750 0.625
Cl1 0.000 0.000 0.000
Cl2 0.000 0.000 0.500
Cl3 0.000 0.500 0.000
Cl4 0.000 0.500 0.500
Cl5 0.125 0.750 0.875
Cl6 0.125 0.875 0.250
Cl7 0.250 0.125 0.875
Cl8 0.250 0.625 0.375
Cl9 0.375 0.250 0.625
Cl10 0.375 0.625 0.750
Cl11 0.500 0.000 0.000
Cl12 0.500 0.000 0.500
Cl13 0.500 0.500 0.000
Cl14 0.500 0.500 0.500
Cl15 0.625 0.375 0.250
Cl16 0.625 0.750 0.375
Cl17 0.750 0.375 0.625
Cl18 0.750 0.875 0.125
Cl19 0.875 0.125 0.750
Cl20 0.875 0.250 0.125

Output
SG: No. 230
Size of the total moment, μB per formula unit: 0.0
Formation energy (no corrections), eV per atom: -0.7327



A geometry-optimized RbSrCl3 structure. Source: Alexandria via LeMat-Bulk, functional GGA-PBE.

a b c (Å): 8.498 8.498 8.498
angles (deg): 54.11 54.11 54.11
Positions (direct):
Rb1 0.140 0.140 0.140
Rb2 0.860 0.860 0.860
Sr1 0.343 0.343 0.343
Sr2 0.657 0.657 0.657
Cl1 0.056 0.703 0.468
Cl2 0.297 0.532 0.944
Cl3 0.468 0.056 0.703
Cl4 0.532 0.944 0.297
Cl5 0.703 0.468 0.056
Cl6 0.944 0.297 0.532

Output
SG: No. 148
Size of the total moment, μB per formula unit: 0.0
Formation energy (no corrections), eV per atom: -2.2753



A geometry-optimized RbSrCl3 structure. Source: Alexandria via LeMat-Bulk, functional GGA-PBE.

a b c (Å): 8.058 11.082 7.770
angles (deg): 90.00 90.00 90.00
Positions (direct):
Rb1 0.060 0.250 0.020
Rb2 0.440 0.750 0.520
Rb3 0.560 0.250 0.480
Rb4 0.940 0.750 0.980
Sr1 0.000 0.000 0.500
Sr2 0.000 0.500 0.500
Sr3 0.500 0.000 0.000
Sr4 0.500 0.500 0.000
Cl1 0.036 0.750 0.396
Cl2 0.207 0.555 0.796
Cl3 0.207 0.945 0.796
Cl4 0.293 0.055 0.296
Cl5 0.293 0.445 0.296
Cl6 0.464 0.250 0.896
Cl7 0.536 0.750 0.104
Cl8 0.707 0.555 0.704
Cl9 0.707 0.945 0.704
Cl10 0.793 0.055 0.204
Cl11 0.793 0.445 0.204
Cl12 0.964 0.250 0.604

Output
SG: No. 62
Size of the total moment, μB per formula unit: 0.0
Formation energy (no corrections), eV per atom: -2.2816



A geometry-optimized Rb2SrCl3 structure. Source: Alexandria via LeMat-Bulk, functional GGA-PBE.

a b c (Å): 8.131 8.131 8.711
angles (deg): 103.25 103.25 66.50
Positions (direct):
Rb1 0.072 0.228 0.116
Rb2 0.228 0.072 0.616
Rb3 0.772 0.928 0.384
Rb4 0.928 0.772 0.884
Sr1 0.487 0.513 0.250
Sr2 0.513 0.487 0.750
Cl1 0.162 0.838 0.250
Cl2 0.315 0.383 0.933
Cl3 0.383 0.315 0.433
Cl4 0.617 0.685 0.567
Cl5 0.685 0.617 0.067
Cl6 0.838 0.162 0.750

Output
SG: No. 15
Size of the total moment, μB per formula unit: 0.7
Formation energy (no corrections), eV per atom: -1.8093



A geometry-optimized Rb5Sr3Cl12 structure. Source: Alexandria via LeMat-Bulk, functional GGA-PBE.

a b c (Å): 15.778 15.778 15.778
angles (deg): 109.47 109.47 109.47
Positions (direct):
Rb1 0.000 0.000 0.000
Rb2 0.000 0.000 0.500
Rb3 0.000 0.500 0.000
Rb4 0.000 0.500 0.500
Rb5 0.125 0.750 0.875
Rb6 0.125 0.875 0.250
Rb7 0.250 0.125 0.875
Rb8 0.250 0.625 0.375
Rb9 0.375 0.250 0.625
Rb10 0.375 0.625 0.750
Rb11 0.500 0.000 0.000
Rb12 0.500 0.000 0.500
Rb13 0.500 0.500 0.000
Rb14 0.500 0.500 0.500
Rb15 0.625 0.375 0.250
Rb16 0.625 0.750 0.375
Rb17 0.750 0.375 0.625
Rb18 0.750 0.875 0.125
Rb19 0.875 0.125 0.750
Rb20 0.875 0.250 0.125
Sr1 0.125 0.250 0.375
Sr2 0.125 0.375 0.750
Sr3 0.250 0.375 0.125
Sr4 0.250 0.875 0.625
Sr5 0.375 0.125 0.250
Sr6 0.375 0.750 0.125
Sr7 0.625 0.250 0.875
Sr8 0.625 0.875 0.750
Sr9 0.750 0.125 0.375
Sr10 0.750 0.625 0.875
Sr11 0.875 0.625 0.250
Sr12 0.875 0.750 0.625
Cl1 0.061 0.632 0.389
Cl2 0.061 0.929 0.672
Cl3 0.071 0.243 0.132
Cl4 0.071 0.328 0.939
Cl5 0.111 0.743 0.672
Cl6 0.111 0.868 0.439
Cl7 0.132 0.071 0.243
Cl8 0.132 0.561 0.889
Cl9 0.172 0.243 0.611
Cl10 0.172 0.429 0.561
Cl11 0.243 0.132 0.071
Cl12 0.243 0.611 0.172
Cl13 0.257 0.328 0.889
Cl14 0.257 0.429 0.368
Cl15 0.328 0.889 0.257
Cl16 0.328 0.939 0.071
Cl17 0.368 0.257 0.429
Cl18 0.368 0.611 0.939
Cl19 0.389 0.061 0.632
Cl20 0.389 0.828 0.757
Cl21 0.429 0.368 0.257
Cl22 0.429 0.561 0.172
Cl23 0.439 0.111 0.868
Cl24 0.439 0.828 0.571
Cl25 0.561 0.172 0.429
Cl26 0.561 0.889 0.132
Cl27 0.571 0.439 0.828
Cl28 0.571 0.632 0.743
Cl29 0.611 0.172 0.243
Cl30 0.611 0.939 0.368
Cl31 0.632 0.389 0.061
Cl32 0.632 0.743 0.571
Cl33 0.672 0.061 0.929
Cl34 0.672 0.111 0.743
Cl35 0.743 0.571 0.632
Cl36 0.743 0.672 0.111
Cl37 0.757 0.389 0.828
Cl38 0.757 0.868 0.929
Cl39 0.828 0.571 0.439
Cl40 0.828 0.757 0.389
Cl41 0.868 0.439 0.111
Cl42 0.868 0.929 0.757
Cl43 0.889 0.132 0.561
Cl44 0.889 0.257 0.328
Cl45 0.929 0.672 0.061
Cl46 0.929 0.757 0.868
Cl47 0.939 0.071 0.328
Cl48 0.939 0.368 0.611

Output
SG: No. 230
Size of the total moment, μB per formula unit: 1.3
Formation energy (no corrections), eV per atom: -1.9042



A geometry-optimized RbSrCl3 structure. Source: Alexandria via LeMat-Bulk, functional GGA-PBE.

a b c (Å): 5.801 5.801 5.801
angles (deg): 90.00 90.00 90.00
Positions (direct):
Rb1 0.000 0.000 0.000
Sr1 0.500 0.500 0.500
Cl1 0.000 0.000 0.500
Cl2 0.000 0.500 0.000
Cl3 0.500 0.000 0.000

Output
SG: No. 221
Size of the total moment, μB per formula unit: 0.0
Formation energy (no corrections), eV per atom: -1.4877



A geometry-optimized RbSrCl structure. Source: Alexandria via LeMat-Bulk, functional GGA-PBE.

a b c (Å): 8.174 8.174 8.174
angles (deg): 136.91 128.50 69.34
Positions (direct):
Rb1 0.378 0.128 0.250
Rb2 0.622 0.872 0.750
Sr1 0.137 0.387 0.750
Sr2 0.863 0.613 0.250
Cl1 0.089 0.839 0.250
Cl2 0.911 0.161 0.750

Output
SG: No. 74
Size of the total moment, μB per formula unit: 0.0
Formation energy (no corrections), eV per atom: -1.0966



A geometry-optimized Rb3SrCl6 structure. Source: Alexandria via LeMat-Bulk, functional GGA-PBE.

a b c (Å): 8.429 8.429 8.429
angles (deg): 60.00 60.00 60.00
Positions (direct):
Rb1 0.000 0.000 0.000
Rb2 0.250 0.250 0.250
Rb3 0.750 0.750 0.750
Sr1 0.500 0.500 0.500
Cl1 0.262 0.262 0.738
Cl2 0.262 0.738 0.262
Cl3 0.262 0.738 0.738
Cl4 0.738 0.262 0.262
Cl5 0.738 0.262 0.738
Cl6 0.738 0.738 0.262

Output
SG: No. 225
Size of the total moment, μB per formula unit: 1.0
Formation energy (no corrections), eV per atom: -1.7297